The following is a PBE+U calculation of crystalline OsWOF2 at its relaxed geometry, from Alexandria.

Properties
Volume (Å³/cell): 76.8
Offset from the most stable computed form (eV per atom): 0.000
VASP energy (hartree per atom): -0.2063
DOS at the Fermi energy (states/eV/cell): 3.77
Spin magnetization (μB/f.u.): 1.9

a b c (Å): 4.2960 4.2960 4.1590
angles (deg): 90.00 90.00 90.00
Closest atoms and distances in Å follow each position.
Space group P4/mmm (No. 123)
One atom of each set of equivalent atoms:
Os: 0.0000 0.0000 0.0000 (multiplicity 1)  8 F 2.99, 4 O 3.04
W: 0.5000 0.5000 0.5000 (multiplicity 1)  2 O 2.08, 4 F 2.15
O: 0.5000 0.5000 0.0000 (multiplicity 1)  2 W 2.08
F: 0.0000 0.5000 0.5000 (multiplicity 2)  2 W 2.15